# 1
The following is a GGA-PBE calculation of a geometry-optimized InGa2Pd2 structure, from the Open Quantum Materials Database.

abc: 4.1931 4.1931 10.7667
angles: 90.00 90.00 90.00
Last column: nearest neighbours and their distance in Å.
Space group I4/mmm (No. 139)
One atom of each set of equivalent atoms:
In: 0.0000 0.0000 0.0000  8 Ga 3.22, 8 Pd 3.41
Ga: 0.0000 0.0000 0.3836  1 Ga 2.51, 4 Pd 2.54
Pd: 0.0000 0.5000 0.2500  4 Ga 2.54

Values from the calculation:
crystal system = tetragonal
electronic total energy = -4.150 eV per atom
distance to the lowest polymorph of the same formula = 49 kJ/mol of formula units

---

# 2
The following is a GGA-PBE calculation of a geometry-optimized In3GaPd4 structure, from the Open Quantum Materials Database.

abc: 7.4670 7.4670 8.8154
angles: 90.00 90.00 120.00
Last column: nearest neighbours and their distance in Å.
Space group R3 (No. 146, hexagonal axes)
One atom of each set of equivalent atoms:
In: 0.1085 0.3975 0.0000  7 Pd 2.75-2.90
Ga: 0.0000 0.0000 0.7895  4 Pd 2.58-2.62
Pd: 0.0000 0.0000 0.0817  1 Ga 2.58, 3 In 2.75
Pd: 0.0322 0.7712 0.5772  2 Ga 2.62-2.93, 5 In 2.77-2.88

Values from the calculation:
crystal system = trigonal
electronic total energy = -4.525 eV per atom

---

# 3
The following is a GGA-PBE calculation of a geometry-optimized Zr3In2GaPdPt2 structure, from the Open Quantum Materials Database.

abc: 3.6078 12.9435 7.4056
angles: 90.00 90.00 90.00
Last column: nearest neighbours and their distance in Å.
Space group Amm2 (No. 38)
One atom of each set of equivalent atoms:
Zr: 0.0000 0.0000 0.0000  4 Pt 2.87, 2 Ga 2.98, 1 Pd 3.21
Zr: 0.0000 0.1969 0.3818  4 Pt 2.82-3.00, 1 Pd 2.89, 2 In 3.10, 2 Ga 3.16
In: 0.5000 0.1310 0.7206  2 Pd 2.72, 2 Pt 2.80-2.82
Ga: 0.5000 0.0000 0.3195  2 Pd 2.57, 2 Pt 2.70
Pd: 0.0000 0.0000 0.5672  2 Ga 2.57, 4 In 2.72
Pt: 0.5000 0.1638 0.0943  1 Ga 2.70, 2 In 2.80-2.82, 6 Zr 2.82-3.00

Values from the calculation:
crystal system = orthorhombic
electronic total energy = -6.514 eV per atom

---

# 4
The following is a GGA-PBE calculation of a geometry-optimized SrInGaPd2 structure, from the Open Quantum Materials Database.

abc: 4.5695 4.5695 10.5840
angles: 90.00 90.00 90.00
Last column: nearest neighbours and their distance in Å.
Space group P4/nmm (No. 129, origin choice 2)
One atom of each set of equivalent atoms:
Sr: 0.2500 0.2500 0.2323  8 Pd 3.36-3.46, 5 Ga 3.48-3.62, 4 In 3.64
In: 0.2500 0.7500 0.5000  4 Pd 2.79
Ga: 0.2500 0.2500 0.8899  5 Pd 2.52-2.56
Pd: 0.2500 0.2500 0.6513  1 Ga 2.52, 4 In 2.79
Pd: 0.2500 0.7500 0.0000  4 Ga 2.56

Values from the calculation:
crystal system = tetragonal
electronic total energy = -4.258 eV per atom

---

# 5
The following is a GGA-PBE calculation of a geometry-optimized Ta2InGaPd2 structure, from the Open Quantum Materials Database.

abc: 10.6257 4.3354 10.6376
angles: 90.00 109.51 90.00
Last column: nearest neighbours and their distance in Å.
Space group Pm (No. 6)
One atom of each set of equivalent atoms:
Ta: 0.0000 0.0000 0.0000  4 Pd 2.65-2.80
Ta: 0.1211 0.5000 0.3659  4 Pd 2.58-2.63
Ta: 0.2512 0.0000 0.7440  4 Pd 2.64-2.70
Ta: 0.3721 0.5000 0.1185  4 Pd 2.62-2.66
Ta: 0.4941 0.0000 0.4888  4 Pd 2.67-2.69
Ta: 0.6268 0.5000 0.8763  4 Pd 2.61-2.73
Ta: 0.7516 0.0000 0.2435  4 Pd 2.57-2.73
Ta: 0.8767 0.5000 0.6142  4 Pd 2.64-2.70
In: 0.1240 0.5000 0.8702  4 Pd 2.68-2.71
In: 0.3730 0.5000 0.6192  4 Pd 2.67-2.70
In: 0.6245 0.5000 0.3668  4 Pd 2.68-2.70
In: 0.7506 0.0000 0.7462  4 Pd 2.67-2.71
Ga: 0.2482 0.0000 0.2427  4 Pd 2.62-2.63
Ga: 0.5001 0.0000 0.9944  4 Pd 2.60-2.64
Ga: 0.8745 0.5000 0.1190  4 Pd 2.62-2.63
Ga: 0.9986 0.0000 0.4919  4 Pd 2.60-2.64
Pd: 0.0006 0.0000 0.7373  1 Ga 2.60, 4 Ta 2.64-2.80, 3 In 2.68-2.69
Pd: 0.1232 0.5000 0.1239  4 Ta 2.58-2.66, 3 Ga 2.63, 1 In 2.70
Pd: 0.2419 0.0000 0.4869  2 Ga 2.60-2.62, 4 Ta 2.63-2.70, 2 In 2.70
Pd: 0.3804 0.5000 0.8753  4 Ta 2.61-2.69, 2 Ga 2.62, 2 In 2.70-2.71
Pd: 0.4929 0.0000 0.2367  2 Ga 2.60-2.62, 4 Ta 2.62-2.73, 2 In 2.70
Pd: 0.6236 0.5000 0.6182  4 In 2.67-2.68, 4 Ta 2.69-2.73
Pd: 0.7511 0.0000 0.0015  4 Ta 2.57-2.65, 3 Ga 2.62-2.64, 1 In 2.71
Pd: 0.8787 0.5000 0.3667  4 Ta 2.58-2.66, 3 Ga 2.62-2.64, 1 In 2.70

Values from the calculation:
crystal system = monoclinic
electronic total energy = -6.774 eV per atom

---

# 6
The following is a GGA-PBE calculation of a geometry-optimized Tb2InGaPd4 structure, from the Open Quantum Materials Database.

abc: 4.5203 4.5203 9.0213
angles: 90.00 90.00 120.00
Last column: nearest neighbours and their distance in Å.
Space group P-3m1 (No. 164)
One atom of each set of equivalent atoms:
Tb: 0.3333 0.6667 0.2447  8 Pd 2.92-3.11
In: 0.0000 0.0000 0.5000  6 Pd 2.73
Ga: 0.0000 0.0000 0.0000  6 Pd 2.71
Pd: 0.3333 0.6667 0.5892  3 In 2.73, 1 Pd 2.99, 3 Tb 3.01
Pd: 0.3333 0.6667 0.9208  3 Ga 2.71, 4 Tb 2.92-3.01, 4 Pd 2.98-2.99

Values from the calculation:
crystal system = trigonal
electronic total energy = -5.311 eV per atom

---

# 7
The following is a GGA-PBE calculation of a geometry-optimized Pm5InGa2 structure, from the Open Quantum Materials Database.

abc: 7.9084 7.9084 14.8662
angles: 90.00 90.00 90.00
Last column: nearest neighbours and their distance in Å.
Space group I4/mcm (No. 140)
One atom of each set of equivalent atoms:
Pm: 0.0000 0.0000 0.0000  4 Ga 3.15
Pm: 0.1708 0.3292 0.1448  3 Ga 3.17-3.18, 2 In 3.32
In: 0.0000 0.0000 0.2500  10 Pm 3.32-3.72
Ga: 0.1194 0.3806 0.5000  1 Ga 2.67

Values from the calculation:
crystal system = tetragonal
electronic total energy = -4.508 eV per atom

---

# 8
The following is a GGA-PBE calculation of a geometry-optimized Pm2InGa2 structure, from the Open Quantum Materials Database.

abc: 7.3957 7.3957 4.5147
angles: 90.00 90.00 90.00
Last column: nearest neighbours and their distance in Å.
Space group P4/mbm (No. 127)
One atom of each set of equivalent atoms:
Pm: 0.1736 0.3264 0.0000  6 Ga 3.09-3.17
In: 0.0000 0.0000 0.5000  4 Ga 2.93
Ga: 0.1242 0.6242 0.5000  1 Ga 2.60

Values from the calculation:
crystal system = tetragonal
electronic total energy = -4.283 eV per atom

---

# 9
The following is a GGA-PBE calculation of a geometry-optimized Pr2In5Ga structure, from the Open Quantum Materials Database.

abc: 5.0713 6.8236 11.9786
angles: 90.00 90.00 90.00
Last column: nearest neighbours and their distance in Å.
Space group Amm2 (No. 38)
One atom of each set of equivalent atoms:
Pr: 0.0000 0.0000 0.0000  10 In 3.29-3.47, 2 Ga 3.42
Pr: 0.5000 0.0000 0.3415  2 Ga 3.30, 10 In 3.34-3.52
In: 0.0000 0.2330 0.7428  5 In 3.12-3.18, 1 Ga 3.13, 4 Pr 3.34-3.47
In: 0.5000 0.0000 0.8245  6 In 3.15-3.21, 4 Pr 3.29-3.42
In: 0.5000 0.2297 0.5908  2 Ga 3.11, 4 In 3.12-3.21, 3 Pr 3.32-3.37
Ga: 0.0000 0.0000 0.5175  6 In 3.11-3.13, 4 Pr 3.30-3.42

Values from the calculation:
crystal system = orthorhombic
electronic total energy = -3.720 eV per atom

---

# 10
The following is a GGA-PBE calculation of a geometry-optimized PrInGa2 structure, from the Open Quantum Materials Database.

abc: 4.7539 11.6340 6.6827
angles: 90.00 90.00 90.00
Last column: nearest neighbours and their distance in Å.
Space group Ama2 (No. 40)
One atom of each set of equivalent atoms:
Pr: 0.2500 0.1692 0.0000  8 Ga 3.20-3.48, 4 In 3.23-3.45
In: 0.2500 0.4228 0.2134  4 Ga 2.95-3.04, 2 In 2.98, 3 Pr 3.23-3.28
Ga: 0.2500 0.1471 0.4803  3 Ga 2.87-2.90, 3 In 2.96-3.04, 2 Pr 3.20
Ga: 0.2500 0.4314 0.7723  5 Ga 2.86-2.90, 1 In 2.95

Values from the calculation:
crystal system = orthorhombic
electronic total energy = -3.881 eV per atom
distance to the lowest polymorph of the same formula = 1 kJ/mol of formula units

---

# 11
The following is a GGA-PBE calculation of a geometry-optimized PrInGa2 structure, from the Open Quantum Materials Database.

abc: 4.7415 6.5985 11.7994
angles: 90.00 90.00 90.00
Last column: nearest neighbours and their distance in Å.
Space group Amm2 (No. 38)
One atom of each set of equivalent atoms:
Pr: 0.0000 0.0000 0.0000  6 Ga 3.14-3.33, 4 In 3.22
Pr: 0.5000 0.0000 0.3530  8 Ga 3.22-3.32, 4 In 3.37-3.40
In: 0.5000 0.2343 0.6094  5 Ga 2.92-2.98, 1 In 3.09, 2 Pr 3.22
Ga: 0.0000 0.0000 0.5378  2 Ga 2.91, 4 In 2.95, 2 Pr 3.22
Ga: 0.0000 0.2139 0.7534  4 Ga 2.82-2.91, 2 In 2.92
Ga: 0.5000 0.0000 0.8252  4 Ga 2.89, 2 In 2.98, 2 Pr 3.14

Values from the calculation:
crystal system = orthorhombic
electronic total energy = -3.885 eV per atom
distance to the lowest polymorph of the same formula = 0 kJ/mol of formula units

---

# 12
The following is a GGA-PBE calculation of a geometry-optimized Pr2Zn2InGa structure, from the Open Quantum Materials Database.

abc: 4.6476 4.6476 7.6404
angles: 90.00 90.00 120.00
Last column: nearest neighbours and their distance in Å.
Space group P3m1 (No. 156)
One atom of each set of equivalent atoms:
Pr: 0.0000 0.0000 0.0000  6 Zn 3.14-3.42, 3 Ga 3.14, 3 In 3.43
Pr: 0.0000 0.0000 0.4852  3 Zn 3.12, 3 In 3.22, 3 Ga 3.39
Zn: 0.3333 0.6667 0.7866  3 In 2.73
Zn: 0.6667 0.3333 0.2768  3 Ga 2.73
In: 0.6667 0.3333 0.7193  3 Zn 2.73
Ga: 0.3333 0.6667 0.2143  3 Zn 2.73

Values from the calculation:
crystal system = trigonal
electronic total energy = -3.479 eV per atom

---

# 13
The following is a GGA-PBE calculation of a geometry-optimized InGaPt2 structure, from the Open Quantum Materials Database.

abc: 3.9925 5.6043 6.7732
angles: 90.00 90.00 90.00
Last column: nearest neighbours and their distance in Å.
Space group Pmmn (No. 59, origin choice 2)
One atom of each set of equivalent atoms:
In: 0.2500 0.2500 0.0764  6 Pt 2.80
Ga: 0.2500 0.7500 0.3984  6 Pt 2.57-2.58
Pt: 0.2500 0.5009 0.7189  3 Ga 2.57-2.58, 2 Pt 2.79-2.81, 3 In 2.80

Values from the calculation:
crystal system = orthorhombic
electronic total energy = -5.067 eV per atom

---

# 14
The following is a GGA-PBE calculation of a geometry-optimized InGa2Pt2 structure, from the Open Quantum Materials Database.

abc: 4.1776 4.1776 10.8925
angles: 90.00 90.00 90.00
Last column: nearest neighbours and their distance in Å.
Space group I4/mmm (No. 139)
One atom of each set of equivalent atoms:
In: 0.0000 0.0000 0.0000  8 Ga 3.21, 8 Pt 3.43
Ga: 0.0000 0.0000 0.3841  1 Ga 2.53, 4 Pt 2.55
Pt: 0.0000 0.5000 0.2500  4 Ga 2.55

Values from the calculation:
crystal system = tetragonal
electronic total energy = -4.502 eV per atom

---

# 15
The following is a GGA-PBE calculation of a geometry-optimized InGaPt2 structure, from the Open Quantum Materials Database.

abc: 3.9762 3.9762 5.6198
angles: 90.00 90.00 120.00
Last column: nearest neighbours and their distance in Å.
Space group P-6m2 (No. 187)
One atom of each set of equivalent atoms:
In: 0.0000 0.0000 0.0000  6 Pt 2.73
Ga: 0.3333 0.6667 0.5000  6 Pt 2.66
Pt: 0.6667 0.3333 0.2623  3 Ga 2.66, 2 Pt 2.67-2.95, 3 In 2.73

Values from the calculation:
crystal system = hexagonal
electronic total energy = -5.020 eV per atom

---

# 16
The following is a GGA-PBE calculation of a geometry-optimized Sc2InGa3Pt2 structure, from the Open Quantum Materials Database.

abc: 9.9349 4.2825 6.8329
angles: 90.00 90.90 90.00
Last column: nearest neighbours and their distance in Å.
Space group Cm (No. 8)
One atom of each set of equivalent atoms:
Sc: 0.0000 0.0000 0.0000  3 Pt 2.79-3.06, 2 Ga 2.87, 2 In 3.08
Sc: 0.1651 0.0000 0.5344  3 Pt 2.90-2.98, 5 Ga 2.95-3.11
In: 0.4599 0.0000 0.3176  3 Pt 2.72-2.78, 2 Ga 2.74-2.82
Ga: 0.2055 0.5000 0.8261  3 Pt 2.57-2.59, 2 Ga 2.61-2.73
Ga: 0.2276 0.5000 0.2252  3 Pt 2.59-2.65, 1 Ga 2.73, 1 In 2.74
Ga: 0.4503 0.0000 0.7292  3 Pt 2.58-2.60, 1 Ga 2.61, 1 In 2.82, 2 Sc 2.87
Pt: 0.2806 0.0000 0.0118  5 Ga 2.58-2.65, 1 In 2.72, 1 Sc 2.79
Pt: 0.3734 0.5000 0.5430  4 Ga 2.57-2.60, 2 In 2.78

Values from the calculation:
crystal system = monoclinic
electronic total energy = -5.380 eV per atom

---

# 17
The following is a GGA-PBE calculation of a geometry-optimized Sc2In3GaPt2 structure, from the Open Quantum Materials Database.

abc: 10.1751 4.3416 7.2916
angles: 90.00 91.17 90.00
Last column: nearest neighbours and their distance in Å.
Space group Cm (No. 8)
One atom of each set of equivalent atoms:
Sc: 0.0000 0.0000 0.0000  3 Pt 2.82-3.15, 4 In 3.05-3.15
Sc: 0.1560 0.0000 0.5348  3 Pt 2.98-3.03, 2 Ga 2.99, 5 In 3.25-3.29
In: 0.2072 0.5000 0.2055  3 Pt 2.74-2.81, 1 In 2.87, 1 Ga 2.93
In: 0.4344 0.0000 0.2972  3 Pt 2.77-2.80, 2 In 2.87-3.02
In: 0.4563 0.0000 0.7106  3 Pt 2.73-2.75, 1 Ga 2.76, 1 In 3.02, 2 Sc 3.05
Ga: 0.2204 0.5000 0.8040  3 Pt 2.57-2.59, 1 In 2.76
Pt: 0.2763 0.0000 0.9837  2 Ga 2.59, 4 In 2.73-2.81, 1 Sc 2.82
Pt: 0.3628 0.5000 0.5165  1 Ga 2.57, 5 In 2.74-2.80

Values from the calculation:
crystal system = monoclinic
electronic total energy = -5.187 eV per atom

---

# 18
The following is a GGA-PBE calculation of a geometry-optimized Tb2InGaPt4 structure, from the Open Quantum Materials Database.

abc: 4.4924 4.4924 9.1350
angles: 90.00 90.00 120.00
Last column: nearest neighbours and their distance in Å.
Space group P-3m1 (No. 164)
One atom of each set of equivalent atoms:
Tb: 0.3333 0.6667 0.2548  8 Pt 2.97-3.20
In: 0.0000 0.0000 0.0000  6 Pt 2.74
Ga: 0.0000 0.0000 0.5000  6 Pt 2.70
Pt: 0.3333 0.6667 0.5832  3 Ga 2.70, 4 Pt 2.93-3.01, 4 Tb 2.99-3.00
Pt: 0.3333 0.6667 0.9042  3 In 2.74, 1 Pt 2.93, 3 Tb 2.97

Values from the calculation:
crystal system = trigonal
electronic total energy = -5.904 eV per atom

---

# 19
The following is a GGA-PBE calculation of a geometry-optimized InGaRe structure, from the Open Quantum Materials Database.

abc: 6.2743 6.2743 6.2743
angles: 90.00 90.00 90.00
Last column: nearest neighbours and their distance in Å.
Space group F-43m (No. 216)
One atom of each set of equivalent atoms:
In: 0.0000 0.0000 0.0000  4 Re 2.72
Ga: 0.0000 0.0000 0.5000  4 Re 2.72
Re: 0.2500 0.2500 0.7500  4 In 2.72, 4 Ga 2.72

Values from the calculation:
crystal system = cubic
electronic total energy = -5.360 eV per atom
distance to the lowest polymorph of the same formula = 0 kJ/mol of formula units

---

# 20
The following is a GGA-PBE calculation of a geometry-optimized ZnInGaSe3S structure, from the Open Quantum Materials Database.

abc: 5.7215 5.7256 6.8016
angles: 65.22 65.18 89.23
Last column: nearest neighbours and their distance in Å.
Space group P1 (No. 1)
One atom of each set of equivalent atoms:
Zn: 0.0000 0.0000 0.0000  1 S 2.37, 3 Se 2.49-2.50
In: 0.5084 0.4886 0.0033  1 S 2.52, 3 Se 2.62-2.63
Ga: 0.7578 0.2454 0.5098  1 S 2.32, 3 Se 2.45
Se: 0.1170 0.0821 0.2822  1 Ga 2.45, 1 Zn 2.49, 1 In 2.63
Se: 0.3780 0.8867 0.7234  1 Ga 2.45, 1 Zn 2.49, 1 In 2.62
Se: 0.6158 0.6264 0.2830  1 Ga 2.45, 1 Zn 2.50, 1 In 2.62
S: 0.8940 0.3623 0.7388  1 Ga 2.32, 1 Zn 2.37, 1 In 2.52

Values from the calculation:
crystal system = triclinic
electronic total energy = -3.724 eV per atom